(1)
Compound: Ho2InIr
Source: Alexandria
Functional: GGA-PBE
Structure: relaxed

## Properties
VASP energy = -22.144 eV for the cell shown
DFT formation energy = -1.4 eV/f.u.
calculated volume = 128 Å³ per cell
energy above the most stable polymorph in this dataset = 341 meV per atom
size of the total moment = 0.000 μB/f.u.

abc: 3.9328 3.9328 9.8028
angles: 78.43 78.43 60.00
Fractional coordinates of all 4 atoms:
1 In 0.0000 0.0000 0.0000
2 Ir 0.5000 0.5000 0.5000
3 Ho 0.8858 0.8858 0.3425
4 Ho 0.1142 0.1142 0.6575

(2)
Compound: HfReSi
Source: Alexandria
Functional: GGA-PBE
Structure: relaxed

## Properties
VASP energy = -117.559 eV for the cell shown
energy relative to the elements, uncorrected = -0.52 eV/atom
calculated volume = 198 Å³ per cell
size of the total moment = 0.000 μB/f.u.

abc: 10.5698 3.3847 5.5324
angles: 90.00 90.00 90.00
Fractional coordinates of all 12 atoms:
1 Re 0.0000 0.0000 0.2564
2 Re 0.0000 0.0000 0.7436
3 Re 0.5000 0.5000 0.7564
4 Re 0.5000 0.5000 0.2436
5 Hf 0.3125 0.0000 0.0000
6 Hf 0.6875 0.0000 0.0000
7 Hf 0.1875 0.5000 0.5000
8 Hf 0.8125 0.5000 0.5000
9 Si 0.6164 0.0000 0.5000
10 Si 0.1164 0.5000 0.0000
11 Si 0.8836 0.5000 0.0000
12 Si 0.3836 0.0000 0.5000

(3)
Compound: Zr3Sn2
Source: Alexandria
Functional: GGA-PBE
Structure: relaxed

## Properties
VASP energy = -34.737 eV for the cell shown
DFT formation energy = -1.1 eV/f.u.
calculated volume = 128 Å³ per cell
size of the total moment = 0.000 μB/f.u.

abc: 5.0122 5.0122 5.8851
angles: 90.00 90.00 120.00
Fractional coordinates of all 5 atoms:
1 Sn 0.3333 0.6667 0.2429
2 Sn 0.6667 0.3333 0.7571
3 Zr 0.0000 0.0000 0.0000
4 Zr 0.6667 0.3333 0.2560
5 Zr 0.3333 0.6667 0.7440

(4)
Compound: Cs2K2Rb5Na
Source: Alexandria
Functional: GGA-PBE
Structure: relaxed

## Properties
VASP energy = -19.506 eV for the cell shown
DFT formation energy = 0.3 eV/f.u.
calculated volume = 1752 Å³ per cell
size of the total moment = 0.000 μB/f.u.

abc: 5.2497 18.2694 18.2694
angles: 90.00 90.00 90.00
Fractional coordinates of all 20 atoms:
1 K 0.0000 0.6408 0.8592
2 K 0.0000 0.3592 0.1408
3 K 0.0000 0.8592 0.3592
4 K 0.0000 0.1408 0.6408
5 Cs 0.0000 0.1742 0.3258
6 Cs 0.0000 0.3258 0.8258
7 Cs 0.0000 0.8258 0.6742
8 Cs 0.0000 0.6742 0.1742
9 Rb 0.5000 0.5402 0.6820
10 Rb 0.5000 0.1820 0.0402
11 Rb 0.5000 0.5000 0.0000
12 Rb 0.5000 0.3180 0.5402
13 Rb 0.5000 0.0402 0.8180
14 Rb 0.5000 0.6820 0.4598
15 Rb 0.5000 0.8180 0.9598
16 Rb 0.5000 0.4598 0.3180
17 Rb 0.5000 0.9598 0.1820
18 Rb 0.5000 0.0000 0.5000
19 Na 0.0000 0.5000 0.5000
20 Na 0.0000 0.0000 0.0000

(5)
Compound: NiPd2I
Source: Alexandria
Functional: GGA-PBE
Structure: relaxed

## Properties
VASP energy = -32.797 eV for the cell shown
energy relative to the elements, uncorrected = 0.33 eV/atom
calculated volume = 142 Å³ per cell
energy above the most stable polymorph in this dataset = 0 meV per atom
size of the total moment = 0.002 μB/f.u.

abc: 3.8507 3.8507 9.9505
angles: 78.84 78.84 90.00
Fractional coordinates of all 8 atoms:
1 Pd 0.3750 0.3832 0.7500
2 Pd 0.1332 0.6250 0.2500
3 Pd 0.8750 0.8668 0.7500
4 Pd 0.6168 0.1250 0.2500
5 I 0.0000 0.0000 0.0000
6 I 0.7500 0.2500 0.5000
7 Ni 0.2500 0.7500 0.5000
8 Ni 0.5000 0.5000 0.0000

(6)
Compound: TbPr2Er9
Source: Alexandria
Functional: GGA-PBE
Structure: relaxed

## Properties
VASP energy = -54.942 eV for the cell shown
DFT formation energy = 0.3 eV/f.u.
calculated volume = 378 Å³ per cell
energy above the most stable polymorph in this dataset = 0 meV per atom
size of the total moment = 0.000 μB/f.u.

abc: 5.0153 5.0153 15.0283
angles: 90.00 90.00 90.00
Fractional coordinates of all 12 atoms:
1 Er 0.5000 0.0000 0.5000
2 Er 0.0000 0.5000 0.8357
3 Er 0.5000 0.5000 0.6681
4 Er 0.5000 0.5000 0.0000
5 Er 0.5000 0.5000 0.3319
6 Er 0.5000 0.0000 0.8357
7 Er 0.5000 0.0000 0.1643
8 Er 0.0000 0.5000 0.5000
9 Er 0.0000 0.5000 0.1643
10 Tb 0.0000 0.0000 0.0000
11 Pr 0.0000 0.0000 0.3328
12 Pr 0.0000 0.0000 0.6672

(7)
Compound: Cs2AgSn
Source: Alexandria
Functional: GGA-PBE
Structure: relaxed

## Properties
VASP energy = -6.967 eV for the cell shown
DFT formation energy = 1.6 eV/f.u.
calculated volume = 191 Å³ per cell
energy above the most stable polymorph in this dataset = 395 meV per atom
size of the total moment = 0.000 μB/f.u.

abc: 4.1300 4.1300 13.1232
angles: 80.95 80.95 60.00
Fractional coordinates of all 4 atoms:
1 Cs 0.9022 0.9022 0.2934
2 Cs 0.0978 0.0978 0.7066
3 Sn 0.0000 0.0000 0.0000
4 Ag 0.5000 0.5000 0.5000

(8)
Compound: ZrBeCl2
Source: Alexandria
Functional: GGA-PBE
Structure: relaxed

## Properties
VASP energy = -16.949 eV for the cell shown
energy relative to the elements, uncorrected = -0.25 eV/atom
calculated volume = 75 Å³ per cell
energy above the most stable polymorph in this dataset = 557 meV per atom
size of the total moment = 0.000 μB/f.u.

abc: 4.4243 3.2911 5.1813
angles: 93.11 90.00 90.00
Fractional coordinates of all 4 atoms:
1 Zr 0.5000 0.2500 0.2500
2 Cl 0.0000 0.4749 0.4989
3 Cl 0.0000 0.0251 0.0011
4 Be 0.5000 0.7500 0.7500

(9)
Compound: Ag5Hg4Au2
Source: Alexandria
Functional: GGA-PBE
Structure: relaxed

## Properties
VASP energy = -21.065 eV for the cell shown
DFT formation energy = 1.0 eV/f.u.
calculated volume = 223 Å³ per cell
size of the total moment = 0.000 μB/f.u.

abc: 5.4838 5.8126 10.7473
angles: 137.76 91.23 79.50
Fractional coordinates of all 11 atoms:
1 Hg 0.3462 0.4070 0.6435
2 Hg 0.9211 0.2247 0.9765
3 Hg 0.0789 0.7753 0.0235
4 Hg 0.6538 0.5930 0.3565
5 Ag 0.1483 0.8323 0.3155
6 Ag 0.1849 0.4318 0.3792
7 Ag 0.8517 0.1677 0.6845
8 Ag 0.5000 0.0000 0.0000
9 Ag 0.8151 0.5682 0.6208
10 Au 0.3620 0.0453 0.7423
11 Au 0.6380 0.9547 0.2577

(10)
Compound: YInSF2
Source: Alexandria
Functional: GGA-PBE
Structure: relaxed

## Properties
VASP energy = -29.589 eV for the cell shown
energy relative to the elements, uncorrected = -2.50 eV/atom
calculated volume = 109 Å³ per cell
size of the total moment = 0.000 μB/f.u.

abc: 4.4691 4.4691 5.4377
angles: 90.00 90.00 90.00
Fractional coordinates of all 5 atoms:
1 S 0.0000 0.0000 0.5000
2 F 0.5000 0.0000 0.0000
3 F 0.0000 0.5000 0.0000
4 Y 0.0000 0.0000 0.0000
5 In 0.5000 0.5000 0.5000

(11)
Compound: SrZrAs2
Source: Alexandria
Functional: GGA-PBE
Structure: relaxed

## Properties
VASP energy = -22.925 eV for the cell shown
DFT formation energy = -3.4 eV/f.u.
calculated volume = 93 Å³ per cell
energy above the most stable polymorph in this dataset = 301 meV per atom
size of the total moment = 0.000 μB/f.u.

abc: 3.6037 3.4634 7.8231
angles: 71.33 90.00 90.00
Fractional coordinates of all 4 atoms:
1 Sr 0.5000 0.2500 0.2500
2 As 0.0000 0.4793 0.5380
3 As 0.0000 0.0207 0.9620
4 Zr 0.5000 0.7500 0.7500

(12)
Compound: NbReSbTe2
Source: Alexandria
Functional: GGA-PBE
Structure: relaxed

## Properties
VASP energy = -22.742 eV for the cell shown
energy relative to the elements, uncorrected = 2.04 eV/atom
calculated volume = 155 Å³ per cell
energy above the most stable polymorph in this dataset = 842 meV per atom
size of the total moment = 2.618 μB/f.u.

abc: 5.5656 4.9932 5.5656
angles: 90.00 90.00 90.00
Each line ends with the local moment (μB).
Fractional coordinates of all 5 atoms:
1 Te 0.5000 0.0000 0.0000  0.04
2 Te 0.0000 0.0000 0.5000  0.05
3 Nb 0.5000 0.5000 0.5000  0.19
4 Sb 0.0000 0.0000 0.0000  -0.05
5 Re 0.0000 0.5000 0.0000  1.99

(13)
Compound: LaAsW2
Source: Alexandria
Functional: GGA-PBE
Structure: relaxed

## Properties
VASP energy = -33.569 eV for the cell shown
DFT formation energy = 1.9 eV/f.u.
calculated volume = 79 Å³ per cell
size of the total moment = 0.000 μB/f.u.

abc: 6.1149 6.1149 6.1149
angles: 153.03 129.93 57.79
Fractional coordinates of all 4 atoms:
1 La 0.7500 0.2500 0.5000
2 W 0.0359 0.0359 0.0000
3 W 0.4641 0.4641 0.0000
4 As 0.2500 0.7500 0.5000

(14)
Compound: Fe2OsRh4
Source: Alexandria
Functional: GGA-PBE
Structure: relaxed

## Properties
VASP energy = -111.031 eV for the cell shown
DFT formation energy = 2.0 eV/f.u.
calculated volume = 206 Å³ per cell
size of the total moment = 5.698 μB/f.u.

abc: 4.4318 5.3619 9.0255
angles: 90.00 73.98 90.00
Each line ends with the local moment (μB).
Fractional coordinates of all 14 atoms:
1 Rh 0.9952 0.3014 0.2754  0.24
2 Rh 0.4800 0.2397 0.0101  0.14
3 Rh 0.5200 0.7603 0.9899  0.14
4 Rh 0.0048 0.8014 0.2246  0.24
5 Rh 0.0048 0.6986 0.7246  0.24
6 Rh 0.9952 0.1986 0.7754  0.24
7 Rh 0.4800 0.2603 0.5101  0.14
8 Rh 0.5200 0.7397 0.4899  0.14
9 Fe 0.4919 0.4818 0.7573  2.63
10 Fe 0.5081 0.9818 0.7427  2.63
11 Fe 0.5081 0.5182 0.2427  2.63
12 Fe 0.4919 0.0182 0.2573  2.63
13 Os 0.0000 0.0000 0.5000  -0.31
14 Os 0.0000 0.5000 0.0000  -0.31

(15)
Compound: CeEr2Bi
Source: Alexandria
Functional: GGA-PBE
Structure: relaxed

## Properties
VASP energy = -20.076 eV for the cell shown
DFT formation energy = -1.1 eV/f.u.
calculated volume = 115 Å³ per cell
energy above the most stable polymorph in this dataset = 34 meV per atom
size of the total moment = 0.438 μB/f.u.

abc: 3.9716 3.9716 7.3054
angles: 90.00 90.00 90.00
Each line ends with the local moment (μB).
Fractional coordinates of all 4 atoms:
1 Ce 0.5000 0.5000 0.5000  0.36
2 Er 0.0000 0.0000 0.7696  0.01
3 Er 0.0000 0.0000 0.2304  0.01
4 Bi 0.5000 0.5000 0.0000  -0.01

(16)
Compound: Sn3AsAu
Source: Alexandria
Functional: GGA-PBE
Structure: relaxed

## Properties
VASP energy = -40.581 eV for the cell shown
DFT formation energy = -0.4 eV/f.u.
calculated volume = 293 Å³ per cell
energy above the most stable polymorph in this dataset = 0 meV per atom
size of the total moment = 0.000 μB/f.u.

abc: 4.0669 8.7883 9.8346
angles: 120.68 101.93 90.00
Fractional coordinates of all 10 atoms:
1 Au 0.1369 0.9466 0.2738
2 Au 0.8631 0.0534 0.7262
3 Sn 0.5898 0.0858 0.1795
4 Sn 0.9830 0.6430 0.9660
5 Sn 0.0170 0.3570 0.0340
6 Sn 0.4102 0.9142 0.8205
7 Sn 0.6955 0.8152 0.3909
8 Sn 0.3045 0.1848 0.6091
9 As 0.3761 0.5641 0.7521
10 As 0.6239 0.4359 0.2479

(17)
Compound: La2Pr6Ru
Source: Alexandria
Functional: GGA-PBE
Structure: relaxed

## Properties
VASP energy = -46.532 eV for the cell shown
DFT formation energy = 1.3 eV/f.u.
calculated volume = 324 Å³ per cell
size of the total moment = 0.000 μB/f.u.

abc: 3.7867 9.5637 10.1457
angles: 118.12 89.92 90.00
Fractional coordinates of all 9 atoms:
1 Pr 0.5000 0.7887 0.0000
2 Pr 0.9995 0.3328 0.3354
3 Pr 0.0005 0.9974 0.6646
4 Pr 0.0005 0.6672 0.6646
5 Pr 0.9995 0.0026 0.3354
6 Pr 0.5000 0.2113 0.0000
7 La 0.5016 0.6689 0.3379
8 La 0.4984 0.3311 0.6621
9 Ru 0.0000 0.0000 0.0000

(18)
Compound: AlTcMoIr
Source: Alexandria
Functional: GGA-PBE
Structure: relaxed

## Properties
VASP energy = -35.083 eV for the cell shown
DFT formation energy = -1.3 eV/f.u.
calculated volume = 59 Å³ per cell
size of the total moment = 0.001 μB/f.u.

abc: 4.3622 4.3622 4.3622
angles: 60.00 60.00 60.00
Fractional coordinates of all 4 atoms:
1 Mo 0.5000 0.5000 0.5000
2 Ir 0.7500 0.7500 0.7500
3 Al 0.0000 0.0000 0.0000
4 Tc 0.2500 0.2500 0.2500

(19)
Compound: RbCd2SiRh
Source: Alexandria
Functional: GGA-PBE
Structure: relaxed

## Properties
VASP energy = -16.314 eV for the cell shown
energy relative to the elements, uncorrected = -0.15 eV/atom
calculated volume = 132 Å³ per cell
size of the total moment = 0.000 μB/f.u.

abc: 5.3512 5.3512 4.5968
angles: 90.00 90.00 90.00
Fractional coordinates of all 5 atoms:
1 Rh 0.0000 0.0000 0.0000
2 Cd 0.0000 0.5000 0.0000
3 Cd 0.5000 0.0000 0.0000
4 Rb 0.5000 0.5000 0.5000
5 Si 0.0000 0.0000 0.5000

(20)
Compound: CrGaPdRu
Source: Alexandria
Functional: GGA-PBE
Structure: relaxed

## Properties
VASP energy = -27.905 eV for the cell shown
DFT formation energy = -0.8 eV/f.u.
calculated volume = 57 Å³ per cell
size of the total moment = 2.908 μB/f.u.

abc: 4.3113 4.3113 4.3113
angles: 60.00 60.00 60.00
Each line ends with the local moment (μB).
Fractional coordinates of all 4 atoms:
1 Pd 0.5000 0.5000 0.5000  0.23
2 Cr 0.2500 0.2500 0.2500  2.67
3 Ga 0.7500 0.7500 0.7500  -0.01
4 Ru 0.0000 0.0000 0.0000  -0.15